Computed, not measured: a geometry-optimized Na3YBi2O6 structure at the PBE-GGA level of DFT.

Calculated values
As for the density of states at the Fermi level: 0.000 states/eV per atom. Its formation energy without anion corrections is -1.81 eV per atom.

a b c (Å): 6.0787 6.0787 6.0188
angles (deg): 99.70 99.70 120.02
Sites, in units of the cell vectors:
Na 0.1665 0.8335 0.5000
Na 0.8335 0.1665 0.5000
Na 0.5000 0.5000 0.5000
Y 0.0000 0.0000 0.0000
Bi 0.3334 0.6666 0.0000
Bi 0.6666 0.3334 0.0000
O 0.9251 0.6056 0.7761
O 0.7537 0.7537 0.2213
O 0.0749 0.3944 0.2239
O 0.6056 0.9251 0.7761
O 0.2463 0.2463 0.7787
O 0.3944 0.0749 0.2239